Density functional theory data (PBE+U) for a relaxed MnNbF3 crystal.

Values from the calculation:
Distance to the lowest polymorph of the same formula in meV/atom: 214
Raw total energy in hartree per atom: -0.217
Fermi-level density of states in states/eV per atom: 1.259

Cell lengths 4.2433, 4.2433, 4.2433 Å; angles 90.00, 90.00, 90.00 degrees
Last column: magnetic moment on the atom in μB.
Fractional positions:
Mn 0.0000 0.0000 0.0000  4.71
Nb 0.5000 0.5000 0.5000  3.05
F 0.5000 0.0000 0.0000  0.10
F 0.0000 0.5000 0.0000  0.09
F 0.0000 0.0000 0.5000  0.05